Computed, not measured: a relaxed Co2MoW crystal at the PBE-GGA level of DFT.

Computed properties:
* total energy: -71.23 eV for the cell shown
* calculated density: 11.7 g/cm3
* density of states at the Fermi level: 11.778 states/eV/cell
* size of the total moment: 0.0 μB per formula unit

The structure in POSCAR format:
```
Co2MoW
1.0
-3.290 3.290 2.604
3.290 -3.290 2.604
3.290 3.290 -2.604
Co Mo W
4 2 2
Direct
0.122 0.625 0.997 Co
0.375 0.372 0.497 Co
0.628 0.125 0.003 Co
0.875 0.878 0.503 Co
0.250 0.750 0.500 Mo
0.500 0.500 0.000 Mo
0.000 0.000 0.000 W
0.750 0.250 0.500 W
```